Record 1
SrAgHRu2 | PBE | relaxed

POSCAR file:
```
SrAgHRu2
1.0
4.069 0.000 0.000
0.000 4.816 0.000
0.000 0.000 4.069
Ru H Ag Sr
2 1 1 1
Cartesian
0.000 0.000 2.035
2.035 0.000 0.000
0.000 0.000 0.000
2.035 2.408 2.035
0.000 2.408 0.000
```

Summary:
DOS(E_F), states/eV/f.u.: 4.27
Size of the total moment, μB/f.u.: 2.2
DFT total energy, eV/atom: -4.82

=====

Record 2
MgV2InRh | PBE | relaxed

POSCAR file:
```
MgV2InRh
1.0
-3.669 2.590 -0.756
-2.493 -3.704 -0.593
-0.963 -0.065 4.450
Mg V Rh In
1 2 1 1
Cartesian
0.000 0.000 0.000
-0.481 -0.033 2.225
-1.834 1.295 -0.378
-1.246 -1.852 -0.297
-3.562 -0.590 1.551
```

Summary:
DOS(E_F), states/eV/f.u.: 8.75
Size of the total moment, μB/f.u.: 0.0
DFT total energy, eV/atom: -4.70

=====

Record 3
LaSmDy2S4 | PBE | relaxed

POSCAR file:
```
LaSmDy2S4
1.0
3.947 0.000 0.000
0.000 7.006 -0.194
0.000 2.412 6.452
La Sm Dy S
1 1 2 4
Cartesian
1.973 5.914 6.355
0.000 4.709 3.129
0.000 2.412 6.452
1.973 1.206 3.226
0.000 7.159 4.624
3.947 2.258 1.634
1.973 5.952 1.460
1.973 3.465 4.798
```

Summary:
DOS(E_F), states/eV/f.u.: 4.96
Size of the total moment, μB/f.u.: 0.0
Uncorrected formation energy, eV/atom: -2.04
DFT total energy, eV/atom: -6.46